# GdFeSi3

A relaxed GdFeSi3 crystal (PBE, OQMD).

Geometry as extended XYZ:
```
10
Lattice="4.019 0.000 0.000 0.000 10.518 1.990 0.000 -10.518 1.990" Properties=species:S:1:pos:R:3 pbc="T T T"
Gd 0.000 -6.957 1.990
Gd 0.000 6.957 1.990
Fe 2.010 -2.254 1.984
Fe 2.010 2.254 1.984
Si 0.000 -1.197 1.991
Si 0.000 1.197 1.991
Si 2.010 -9.318 1.984
Si 2.010 -4.516 1.988
Si 2.010 4.516 1.988
Si 2.010 9.318 1.984
```

Calculated values
The total energy is -63.8 eV/cell. Its total magnetization is 0.0 μB/f.u.